i) The following is a DFT calculation (GGA-PBE) of a geometry-optimized Tb5GeSe4 structure.

- calculated volume (A^3/atom) = 24.77

abc: 16.9073 16.9073 16.9073
angles: 14.04 14.04 14.04
Element x y z (fractional)
Tb: 0.0000 0.0000 0.0000
Tb: 0.1982 0.1982 0.1982
Tb: 0.3987 0.3987 0.3987
Tb: 0.6013 0.6013 0.6013
Tb: 0.8018 0.8018 0.8018
Ge: 0.5000 0.5000 0.5000
Se: 0.0988 0.0988 0.0988
Se: 0.3004 0.3004 0.3004
Se: 0.6996 0.6996 0.6996
Se: 0.9012 0.9012 0.9012

=====

ii) The following is a DFT calculation (GGA-PBE) of a geometry-optimized Tb5GeSe4 structure.

- calculated volume (A^3/atom) = 24.70

abc: 7.1399 7.1399 7.1399
angles: 99.50 99.50 132.05
Element x y z (fractional)
Tb: 0.0000 0.0000 0.0000
Tb: 0.2083 0.4021 0.6104
Tb: 0.4021 0.7917 0.1938
Tb: 0.5979 0.2083 0.8062
Tb: 0.7917 0.5979 0.3896
Ge: 0.5000 0.5000 0.0000
Se: 0.0980 0.6980 0.7961
Se: 0.3020 0.0980 0.4000
Se: 0.6980 0.9020 0.6000
Se: 0.9020 0.3020 0.2039

=====

Structures ranked by computed energy, the most stable listed first: ii), i).

=====

i) The following is a DFT calculation (GGA-PBE) of a geometry-optimized Tb2GeSe structure.

- calculated volume (A^3/atom) = 25.27

abc: 4.1356 5.8466 8.3597
angles: 90.00 90.00 90.00
Element x y z (fractional)
Tb: 0.2500 0.2500 0.1199
Tb: 0.2500 0.2500 0.6359
Tb: 0.7500 0.7500 0.3641
Tb: 0.7500 0.7500 0.8801
Ge: 0.2500 0.7500 0.1271
Ge: 0.7500 0.2500 0.8729
Se: 0.2500 0.7500 0.6201
Se: 0.7500 0.2500 0.3799

=====

ii) The following is a DFT calculation (GGA-PBE) of a geometry-optimized Tb2GeSe structure.

- calculated volume (A^3/atom) = 25.93

abc: 4.1005 4.1005 21.3677
angles: 90.00 90.00 120.00
Element x y z (fractional)
Tb: 0.0000 0.0000 0.0000
Tb: 0.0000 0.0000 0.1802
Tb: 0.3333 0.6667 0.6667
Tb: 0.3333 0.6667 0.8469
Tb: 0.6667 0.3333 0.3333
Tb: 0.6667 0.3333 0.5135
Ge: 0.0000 0.0000 0.5908
Ge: 0.3333 0.6667 0.2574
Ge: 0.6667 0.3333 0.9241
Se: 0.0000 0.0000 0.4211
Se: 0.3333 0.6667 0.0877
Se: 0.6667 0.3333 0.7544

=====

Structures ranked by computed energy, the most stable listed first: i), ii).

=====

i) The following is a DFT calculation (GGA-PBE) of a geometry-optimized Tb2GeSe structure.

- calculated volume (A^3/atom) = 25.36

abc: 4.1441 4.1441 20.4604
angles: 90.00 90.00 120.00
Element x y z (fractional)
Tb: 0.0000 0.0000 0.2460
Tb: 0.0000 0.0000 0.7540
Tb: 0.3333 0.6667 0.4206
Tb: 0.3333 0.6667 0.9127
Tb: 0.6667 0.3333 0.0873
Tb: 0.6667 0.3333 0.5794
Ge: 0.0000 0.0000 0.5000
Ge: 0.3333 0.6667 0.1667
Ge: 0.6667 0.3333 0.8333
Se: 0.0000 0.0000 0.0000
Se: 0.3333 0.6667 0.6667
Se: 0.6667 0.3333 0.3333

=====

ii) The following is a DFT calculation (GGA-PBE) of a geometry-optimized Tb2GeSe structure.

- calculated volume (A^3/atom) = 25.21

abc: 7.0202 7.1106 4.0410
angles: 90.00 90.00 90.00
Element x y z (fractional)
Tb: 0.2444 0.1725 0.0000
Tb: 0.2556 0.6725 0.5000
Tb: 0.7444 0.3275 0.5000
Tb: 0.7556 0.8275 0.0000
Ge: 0.0000 0.0000 0.5000
Ge: 0.5000 0.5000 0.0000
Se: 0.0000 0.5000 0.0000
Se: 0.5000 0.0000 0.5000

=====

Structures ranked by computed energy, the most stable listed first: i), ii).